Entry 1:
First-principles (PBE) data for crystalline CeMgSn at its relaxed geometry, as listed in Alexandria.

Values from the calculation:
SG = P3m1, No. 156
crystal system = trigonal
calculated formation energy = -0.3910 eV/atom
D(E_F) = 6.21 states/eV per cell

a b c (Å): 3.630 5.000 5.000
angles (deg): 120.00 90.00 90.00
Site moments in Bohr magnetons follow the coordinates.
Fractional positions:
Sn  0.164  0.333  0.667  0.00
Mg  0.169  0.000  0.000  0.00
Ce  0.667  0.667  0.333  0.84



Entry 2:
First-principles (PBE) data for crystalline CeLuMnAl at its relaxed geometry, as listed in Alexandria.

Values from the calculation:
SG = F-43m, No. 216
crystal system = cubic
calculated formation energy = -0.0489 eV/atom
D(E_F) = 5.14 states/eV per cell

a b c (Å): 5.018 5.018 5.018
angles (deg): 60.00 60.00 60.00
Site moments in Bohr magnetons follow the coordinates.
Fractional positions:
Lu  0.250  0.250  0.250  -0.23
Ce  0.750  0.750  0.750  -0.64
Mn  0.000  0.000  0.000  3.25
Al  0.500  0.500  0.500  0.02



Entry 3:
First-principles (PBE) data for crystalline Pr2Sm6Tm at its relaxed geometry, as listed in Alexandria.

Values from the calculation:
SG = Cmmm, No. 65
crystal system = orthorhombic
calculated formation energy = 0.0475 eV/atom
D(E_F) = 12.29 states/eV per cell

a b c (Å): 3.552 9.909 10.551
angles (deg): 118.01 70.34 90.00
Fractional positions:
Sm  0.500  0.670  0.000
Sm  0.500  0.330  0.000
Tm  0.000  0.000  0.000
Pr  0.666  0.667  0.334
Pr  0.334  0.333  0.666
Sm  0.171  0.330  0.330
Sm  0.829  0.001  0.670
Sm  0.829  0.670  0.670
Sm  0.171  0.999  0.330



Entry 4:
First-principles (PBE) data for crystalline Na2SrInF at its relaxed geometry, as listed in Alexandria.

Values from the calculation:
SG = P4/mmm, No. 123
crystal system = tetragonal
D(E_F) = 2.59 states/eV per cell

a b c (Å): 5.164 5.164 4.929
angles (deg): 90.00 90.00 90.00
Fractional positions:
F  0.000  0.000  0.000
Sr  0.000  0.000  0.500
Na  0.500  0.000  0.000
Na  0.000  0.500  0.000
In  0.500  0.500  0.500



Entry 5:
First-principles (PBE) data for crystalline Y2AsP at its relaxed geometry, as listed in Alexandria.

Values from the calculation:
SG = R3m, No. 160
crystal system = trigonal
calculated formation energy = -1.4442 eV/atom
D(E_F) = 0.39 states/eV per cell

a b c (Å): 4.033 4.033 7.287
angles (deg): 73.94 73.94 60.00
Fractional positions:
Y  0.254  0.254  0.237
As  0.499  0.499  0.503
Y  0.079  0.079  0.764
P  0.668  0.668  0.996



Entry 6:
First-principles (PBE) data for crystalline Pr3AsPCl at its relaxed geometry, as listed in Alexandria.

Values from the calculation:
SG = P2_1/m, No. 11
crystal system = monoclinic
D(E_F) = 5.64 states/eV per cell

a b c (Å): 4.257 8.519 9.475
angles (deg): 102.53 90.00 90.00
Site moments in Bohr magnetons follow the coordinates.
Fractional positions:
Pr  0.750  0.418  0.151  0.04
As  0.250  0.176  0.212  0.00
Pr  0.750  0.897  0.131  -0.01
Pr  0.250  0.582  0.849  0.04
P  0.750  0.341  0.841  0.00
Pr  0.250  0.103  0.869  -0.01
Cl  0.750  0.897  0.421  0.00
As  0.750  0.824  0.788  0.00
Cl  0.250  0.103  0.579  0.00
Pr  0.250  0.720  0.495  0.20
Pr  0.750  0.280  0.505  0.20
P  0.250  0.659  0.159  0.00



Entry 7:
First-principles (PBE) data for crystalline Dy3TlNi at its relaxed geometry, as listed in Alexandria.

Values from the calculation:
SG = P2_1/m, No. 11
crystal system = monoclinic
calculated formation energy = -0.3071 eV/atom
D(E_F) = 8.79 states/eV per cell

a b c (Å): 3.917 8.373 8.640
angles (deg): 112.75 90.00 90.00
Fractional positions:
Dy  0.750  0.040  0.231
Tl  0.750  0.658  0.788
Dy  0.250  0.960  0.769
Ni  0.250  0.933  0.416
Ni  0.750  0.067  0.584
Dy  0.250  0.319  0.576
Dy  0.750  0.681  0.424
Dy  0.750  0.328  0.906
Tl  0.250  0.342  0.212
Dy  0.250  0.672  0.094



Entry 8:
First-principles (PBE) data for crystalline IrRhO2F at its relaxed geometry, as listed in Alexandria.

Values from the calculation:
SG = P4/mmm, No. 123
crystal system = tetragonal
D(E_F) = 3.51 states/eV per cell

a b c (Å): 3.672 3.672 6.309
angles (deg): 90.00 90.00 90.00
Site moments in Bohr magnetons follow the coordinates.
Fractional positions:
F  0.000  0.000  0.500  -0.07
O  0.500  0.000  0.000  -0.07
Rh  0.500  0.500  0.500  -1.86
Ir  0.000  0.000  0.000  -0.25
O  0.000  0.500  0.000  -0.07



Across the entries above, energy takes the values -12.7; -23.6; -41.9; -14.8; -28.8; -68.8; -47.0; -28.3 eV/cell, respectively.
Across the entries above, magnetization takes the values 0.983; 2.330; 0.000; 0.000; 0.000; 0.610; 0.000; 2.553 μB/f.u., respectively.